(1)
This record from Alexandria via LeMat-Bulk describes crystalline Pm2SmCuTe5 at its relaxed geometry. The functional is PBE.

Geometry as extended XYZ:
```
18
Lattice="2.1558 -9.5901 0.0000 2.1558 9.5901 0.0000 0.0000 0.0000 13.0379" Properties=species:S:1:pos:R:3 pbc="T T T"
Pm 2.1558 7.5121 6.5190
Pm 2.1558 7.2384 1.5944
Pm 2.1558 -7.2384 8.1133
Pm 2.1558 -7.5121 0.0000
Sm 2.1558 5.9243 10.7557
Sm 2.1558 -5.9243 4.2367
Cu 2.1558 1.3464 3.5691
Cu 2.1558 -1.3464 10.0881
Te 2.1558 8.8178 11.4750
Te 2.1558 4.0852 6.4296
Te 2.1558 3.5301 2.0164
Te 2.1558 2.7415 10.6235
Te 2.1558 -0.0030 1.3230
Te 2.1558 0.0030 7.8420
Te 2.1558 -2.7415 4.1045
Te 2.1558 -3.5301 8.5354
Te 2.1558 -4.0852 12.9486
Te 2.1558 -8.8178 4.9560
```

Calculated values
The formation energy from raw total energies comes out at -1189 meV/atom. For the total magnetization, the calculation gives 0.00 μB/f.u.


(2)
This record from Alexandria via LeMat-Bulk describes crystalline Cs2CdAg3Hg12 at its relaxed geometry. The functional is PBE.

Geometry as extended XYZ:
```
18
Lattice="4.3136 2.4904 10.2561 -4.3136 2.4904 10.2561 0.0000 -4.9809 10.2561" Properties=species:S:1:pos:R:3 pbc="T T T"
Cs 0.0000 0.0000 4.5158
Cs 0.0000 0.0000 26.2524
Cd 0.0000 0.0000 15.3841
Ag -2.1568 -1.2452 10.2561
Ag -2.1568 1.2452 20.5121
Ag 0.0000 2.4904 10.2561
Hg 0.0000 -2.1512 8.6231
Hg -1.8630 1.0756 8.6231
Hg -1.6417 -0.9478 13.1787
Hg -1.8630 -1.0756 22.1450
Hg 0.0000 -1.8957 17.5895
Hg -1.6417 0.9478 17.5895
Hg 1.6417 -0.9478 13.1787
Hg 0.0000 1.8957 13.1787
Hg 1.8630 1.0756 8.6232
Hg 1.6417 0.9478 17.5895
Hg 1.8630 -1.0756 22.1450
Hg 0.0000 2.1512 22.1450
```

Calculated values
For the total magnetization, the calculation gives 0.00 μB/f.u. Its formation energy is 0.01 eV per atom.


(3)
This record from Alexandria via LeMat-Bulk describes crystalline Ag5Rh at its relaxed geometry. The functional is PBE.

Geometry as extended XYZ:
```
6
Lattice="2.3403 -7.0371 0.0000 2.3403 7.0371 0.0000 0.0000 0.0000 3.1388" Properties=species:S:1:pos:R:3 pbc="T T T"
Ag 0.0000 0.0000 0.0000
Ag 2.3403 4.6876 1.5694
Ag 2.3403 2.2944 0.0000
Ag 2.3403 -2.2944 0.0000
Ag 2.3403 -4.6876 1.5694
Rh 2.3403 0.0000 1.5694
```

Calculated values
For the total magnetization, the calculation gives 0.00 μB/f.u. Its formation energy is 0.17 eV per atom.


(4)
This record from Alexandria via LeMat-Bulk describes crystalline HfAlMo2 at its relaxed geometry. The functional is PBE.

Geometry as extended XYZ:
```
8
Lattice="-3.6537 3.6537 2.7074 3.6537 -3.6537 2.7074 3.6537 3.6537 -2.7074" Properties=species:S:1:pos:R:3 pbc="T T T"
Hf 0.0000 0.0000 0.0000
Hf 0.0000 3.6537 1.3537
Al 3.6537 0.0000 1.3537
Al 0.0000 0.0000 2.7074
Mo 1.8269 -1.6249 2.0305
Mo 2.0288 1.8269 0.6768
Mo 1.8269 5.2786 -0.6768
Mo 1.6249 1.8269 3.3842
```

Calculated values
For the total magnetization, the calculation gives 0.00 μB/f.u. Its formation energy is 0.54 eV per atom.


Q: total magnetization of number 2 (Cs2CdAg3Hg12)?
A: 0.00 μB/f.u.


Q: Which value of total magnetization does entry 4 give?
A: 0.00 μB/f.u.


Q: Which value of total magnetization does entry 2 give?
A: 0.00 μB/f.u.